[1]
# DyHfNi, relaxed, DFT PBE-GGA
data_DyHfNi
_cell_length_a 3.300
_cell_length_b 3.300
_cell_length_c 11.479
_cell_angle_alpha 90.00
_cell_angle_beta 90.00
_cell_angle_gamma 90.00
_space_group_name_H-M_alt 'I 4 m m'
_space_group_IT_number 107
_space_group_name_Hall 'I 4 -2'
loop_
_atom_site_label
_atom_site_type_symbol
_atom_site_fract_x
_atom_site_fract_y
_atom_site_fract_z
Dy1 Dy 0.000 0.000 0.000
Hf1 Hf 0.000 0.000 0.286
Ni1 Ni 0.000 0.000 0.678
# **Energy relative to the elements**: -0.187 eV per atom
# **Crystal system**: tetragonal
# **Size of the total moment**: 0.836 μB/f.u.
# **Uncorrected energy**: -6.966 eV/atom

***

[2]
# CeY6Er2, relaxed, DFT PBE-GGA
data_CeY6Er2
_cell_length_a 10.649
_cell_length_b 10.649
_cell_length_c 5.056
_cell_angle_alpha 90.00
_cell_angle_beta 90.00
_cell_angle_gamma 90.00
_space_group_name_H-M_alt 'P 42/m n m'
_space_group_IT_number 136
_space_group_name_Hall '-P 4n 2n'
loop_
_atom_site_label
_atom_site_type_symbol
_atom_site_fract_x
_atom_site_fract_y
_atom_site_fract_z
Ce1 Ce 0.000 0.000 0.000
Y1 Y 0.001 0.331 0.000
Y2 Y 0.165 0.165 0.500
Er1 Er 0.165 0.835 0.500
# **Energy relative to the elements**: 0.047 eV per atom
# **Crystal system**: tetragonal
# **Size of the total moment**: 1.180 μB/f.u.
# **Uncorrected energy**: -5.936 eV/atom